one.
Here is a relaxed Cs2Os2Pt crystal from the Alexandria database. Energies are from PBE.

Values from the calculation:
calculated density = 7.65 g cm⁻³
volume = 36.5 Å³ per atom

Unit cell a=7.0932 b=7.0932 c=6.1920 alpha=55.06 beta=55.06 gamma=90.00
Last column: magnetic moment on the atom in μB.
Fractional coordinates of all 5 atoms:
Cs: 0.7500 0.2500 0.5000  0.02
Cs: 0.2500 0.7500 0.5000  0.02
Os: 0.3461 0.3461 0.3079  1.30
Os: 0.6539 0.6539 0.6921  1.30
Pt: 0.0000 0.0000 0.0000  0.04

two.
Here is a relaxed Cs2Os2Pt crystal from the Alexandria database. Energies are from PBE.

Values from the calculation:
calculated density = 9.63 g cm⁻³
volume = 29.0 Å³ per atom

Unit cell a=3.5095 b=3.5095 c=12.0381 alpha=81.62 beta=81.62 gamma=90.00
Fractional coordinates of all 5 atoms:
Cs: 0.3965 0.3965 0.2071
Cs: 0.6035 0.6035 0.7929
Os: 0.7500 0.2500 0.5000
Os: 0.2500 0.7500 0.5000
Pt: 0.0000 0.0000 0.0000

Question: of the structures shown, which is the most stable? Reply: two.